DFT (PBE-GGA) results for a geometry-optimized RbMgCdF6 structure.

Computed properties:
Formation energy without anion corrections (eV per atom): -2.49
ρ (Mg/m³): 3.87
Total DFT energy (no corrections) (eV per atom): -4.1276
Spin magnetization (Bohr magnetons per cell): 4.1

```
data_RbMgCdF6
_chemical_formula_sum 'Rb4 Mg4 Cd4 F24'
_cell_length_a 7.5540
_cell_length_b 7.6634
_cell_length_c 9.9732
_cell_angle_alpha 90.00
_cell_angle_beta 90.00
_cell_angle_gamma 90.00
_symmetry_space_group_name_H-M 'I m m a'
_symmetry_Int_Tables_number 74
_symmetry_space_group_name_Hall '-I 2b 2'
loop_
_atom_site_label
_atom_site_fract_x
_atom_site_fract_y
_atom_site_fract_z
Rb1 0.0000 0.2500 0.1051
Mg1 0.2500 0.2500 0.7500
Cd1 0.0000 0.0000 0.5000
F1 0.0000 0.2500 0.3955
F2 0.0000 0.2500 0.7056
F3 0.2358 0.0484 0.8796
```